i | An optimized crystal structure of LaTe2Ir. Source: Alexandria via LeMat-Bulk, functional GGA-PBE.

Unit cell a=6.544 b=6.544 c=6.544 alpha=40.09 beta=40.09 gamma=40.09
Positions (direct):
La: 0.000 0.000 0.000
Te: 0.230 0.230 0.230
Te: 0.770 0.770 0.770
Ir: 0.500 0.500 0.500

Results
magnetic moment	0.000	μB per formula unit
mass density	9.29	g/cm3
DOS(E_F)	4.34	states/eV/f.u.
crystal system	trigonal

ii | An optimized crystal structure of LaTe2Ir. Source: Alexandria via LeMat-Bulk, functional GGA-PBE.

Unit cell a=6.443 b=6.443 c=4.864 alpha=102.65 beta=102.65 gamma=38.63
Positions (direct):
La: 0.000 0.000 0.000
Te: 0.545 0.545 0.533
Te: 0.796 0.796 0.375
Ir: 0.169 0.169 0.459

Results
magnetic moment	0.000	μB per formula unit
mass density	7.94	g/cm3
crystal system	monoclinic

iii | An optimized crystal structure of LaTe2Ir. Source: Alexandria via LeMat-Bulk, functional GGA-PBE.

Unit cell a=4.365 b=4.034 c=7.202 alpha=90.00 beta=107.53 gamma=90.00
Positions (direct):
La: 0.000 0.000 0.000
Te: 0.389 0.500 0.776
Te: 0.696 0.000 0.397
Ir: 0.579 0.500 0.159

Results
magnetic moment	0.000	μB per formula unit
mass density	8.05	g/cm3
DOS(E_F)	3.17	states/eV/f.u.
crystal system	monoclinic

iv | An optimized crystal structure of LaTe2Ir. Source: Alexandria via LeMat-Bulk, functional GGA-PBE.

Unit cell a=3.645 b=3.645 c=7.349 alpha=90.00 beta=90.00 gamma=90.00
Positions (direct):
La: 0.000 0.000 0.000
Te: 0.500 0.500 0.289
Te: 0.500 0.500 0.711
Ir: 0.000 0.000 0.500

Results
magnetic moment	0.000	μB per formula unit
mass density	9.97	g/cm3
DOS(E_F)	6.09	states/eV/f.u.
crystal system	tetragonal

The data favor ii; the next most stable structure lies 3.6 kJ/mol of atoms above it.

i | An optimized crystal structure of LaTe2Ir. Source: Alexandria via LeMat-Bulk, functional GGA-PBE.

Unit cell a=7.176 b=7.176 c=5.045 alpha=110.41 beta=110.41 gamma=31.93
Positions (direct):
La: 0.000 0.000 0.000
Te: 0.148 0.148 0.646
Te: 0.852 0.852 0.354
Ir: 0.500 0.500 0.500

Results
magnetic moment	0.000	μB per formula unit
mass density	7.60	g/cm3
DOS(E_F)	1.45	states/eV/f.u.
crystal system	monoclinic

ii | An optimized crystal structure of LaTe2Ir. Source: Alexandria via LeMat-Bulk, functional GGA-PBE.

Unit cell a=3.942 b=3.942 c=6.708 alpha=90.00 beta=90.00 gamma=90.00
Positions (direct):
La: 0.000 0.000 0.000
Te: 0.000 0.000 0.545
Te: 0.500 0.500 0.220
Ir: 0.500 0.500 0.637

Results
magnetic moment	0.000	μB per formula unit
mass density	9.34	g/cm3
DOS(E_F)	2.16	states/eV/f.u.
crystal system	tetragonal

iii | An optimized crystal structure of LaTe2Ir. Source: Alexandria via LeMat-Bulk, functional GGA-PBE.

Unit cell a=9.407 b=9.407 c=9.407 alpha=24.70 beta=24.70 gamma=24.70
Positions (direct):
La: 0.000 0.000 0.000
Te: 0.118 0.118 0.118
Te: 0.882 0.882 0.882
Ir: 0.500 0.500 0.500

Results
magnetic moment	0.000	μB per formula unit
mass density	7.61	g/cm3
DOS(E_F)	1.54	states/eV/f.u.
crystal system	trigonal

The data favor i; the next most stable structure lies 24.5 kJ/mol of atoms above it.

i | An optimized crystal structure of La4TeIr. Source: Alexandria via LeMat-Bulk, functional GGA-PBE.

Unit cell a=6.246 b=6.246 c=6.246 alpha=60.00 beta=60.00 gamma=60.00
Positions (direct):
La: 0.125 0.125 0.125
La: 0.125 0.125 0.625
La: 0.125 0.625 0.125
La: 0.625 0.125 0.125
Te: 0.750 0.750 0.750
Ir: 0.500 0.500 0.500

Results
magnetic moment	0.000	μB per formula unit
mass density	8.44	g/cm3
DOS(E_F)	9.07	states/eV/f.u.
crystal system	cubic

ii | An optimized crystal structure of La4TeIr. Source: Alexandria via LeMat-Bulk, functional GGA-PBE.

Unit cell a=8.884 b=8.884 c=7.194 alpha=107.30 beta=107.30 gamma=115.97
Positions (direct):
La: 0.078 0.654 0.885
La: 0.179 0.272 0.719
La: 0.272 0.179 0.219
La: 0.346 0.922 0.615
La: 0.654 0.078 0.385
La: 0.728 0.821 0.781
La: 0.821 0.728 0.281
La: 0.922 0.346 0.115
Te: 0.386 0.614 0.250
Te: 0.614 0.386 0.750
Ir: 0.077 0.923 0.750
Ir: 0.923 0.077 0.250

Results
magnetic moment	0.000	μB per formula unit
mass density	6.88	g/cm3
DOS(E_F)	6.04	states/eV/f.u.
crystal system	monoclinic

The data favor ii; the next most stable structure lies 92.4 kJ/mol of atoms above it.

i | An optimized crystal structure of LaTh2Ir. Source: Alexandria via LeMat-Bulk, functional GGA-PBE.

Unit cell a=9.517 b=9.517 c=9.517 alpha=24.45 beta=24.45 gamma=24.45
Positions (direct):
La: 0.000 0.000 0.000
Th: 0.227 0.227 0.227
Th: 0.441 0.441 0.441
Ir: 0.835 0.835 0.835

Results
magnetic moment	0.000	μB per formula unit
mass density	10.17	g/cm3
DOS(E_F)	5.26	states/eV/f.u.
crystal system	trigonal

ii | An optimized crystal structure of LaTh2Ir. Source: Alexandria via LeMat-Bulk, functional GGA-PBE.

Unit cell a=7.309 b=10.058 c=6.454 alpha=90.00 beta=90.00 gamma=90.00
Positions (direct):
La: 0.038 0.250 0.148
La: 0.462 0.750 0.648
La: 0.538 0.250 0.352
La: 0.962 0.750 0.852
Th: 0.179 0.061 0.658
Th: 0.179 0.439 0.658
Th: 0.321 0.561 0.158
Th: 0.321 0.939 0.158
Th: 0.679 0.061 0.842
Th: 0.679 0.439 0.842
Th: 0.821 0.561 0.342
Th: 0.821 0.939 0.342
Ir: 0.110 0.750 0.385
Ir: 0.390 0.250 0.885
Ir: 0.610 0.750 0.115
Ir: 0.890 0.250 0.615

Results
magnetic moment	0.000	μB per formula unit
mass density	11.13	g/cm3
DOS(E_F)	4.36	states/eV/f.u.
crystal system	orthorhombic

The data favor ii; the next most stable structure lies 10.4 kJ/mol of atoms above it.

i | An optimized crystal structure of LaTlIr2. Source: Alexandria via LeMat-Bulk, functional GGA-PBE.

Unit cell a=5.759 b=5.759 c=5.060 alpha=106.49 beta=106.49 gamma=31.08
Positions (direct):
La: 0.000 0.000 0.000
Tl: 0.208 0.208 0.647
Ir: 0.464 0.464 0.482
Ir: 0.769 0.769 0.184

Results
magnetic moment	0.000	μB per formula unit
mass density	14.60	g/cm3
DOS(E_F)	3.09	states/eV/f.u.
crystal system	monoclinic

ii | An optimized crystal structure of LaTlIr2. Source: Alexandria via LeMat-Bulk, functional GGA-PBE.

Unit cell a=4.922 b=4.922 c=4.922 alpha=60.00 beta=60.00 gamma=60.00
Positions (direct):
La: 0.000 0.000 0.000
Tl: 0.250 0.250 0.250
Ir: 0.500 0.500 0.500
Ir: 0.750 0.750 0.750

Results
magnetic moment	0.000	μB per formula unit
mass density	14.33	g/cm3
DOS(E_F)	6.45	states/eV/f.u.
crystal system	cubic

iii | An optimized crystal structure of LaTlIr2. Source: Alexandria via LeMat-Bulk, functional GGA-PBE.

Unit cell a=10.162 b=10.162 c=10.162 alpha=17.41 beta=17.41 gamma=17.41
Positions (direct):
La: 0.000 0.000 0.000
Tl: 0.232 0.232 0.232
Ir: 0.488 0.488 0.488
Ir: 0.754 0.754 0.754

Results
magnetic moment	0.722	μB per formula unit
mass density	14.74	g/cm3
DOS(E_F)	3.34	states/eV/f.u.
crystal system	trigonal

iv | An optimized crystal structure of LaTlIr2. Source: Alexandria via LeMat-Bulk, functional GGA-PBE.

Unit cell a=4.893 b=4.893 c=4.893 alpha=60.00 beta=60.00 gamma=60.00
Positions (direct):
La: 0.000 0.000 0.000
Tl: 0.500 0.500 0.500
Ir: 0.250 0.250 0.250
Ir: 0.750 0.750 0.750

Results
magnetic moment	0.000	μB per formula unit
mass density	14.59	g/cm3
DOS(E_F)	2.53	states/eV/f.u.
crystal system	cubic

The data favor iv; the next most stable structure lies 2.0 kJ/mol of atoms above it.

i | An optimized crystal structure of LaTlIr2. Source: Alexandria via LeMat-Bulk, functional GGA-PBE.

Unit cell a=3.542 b=3.542 c=7.306 alpha=90.00 beta=90.00 gamma=90.00
Positions (direct):
La: 0.000 0.000 0.000
Tl: 0.500 0.500 0.351
Ir: 0.000 0.000 0.626
Ir: 0.500 0.500 0.739

Results
magnetic moment	0.004	μB per formula unit
mass density	13.19	g/cm3
DOS(E_F)	4.77	states/eV/f.u.
crystal system	tetragonal

ii | An optimized crystal structure of LaTlIr2. Source: Alexandria via LeMat-Bulk, functional GGA-PBE.

Unit cell a=4.276 b=5.493 c=5.493 alpha=45.32 beta=90.00 gamma=90.00
Positions (direct):
La: 0.000 0.000 0.000
Tl: 0.500 0.701 0.701
Ir: 0.000 0.287 0.287
Ir: 0.500 0.419 0.419

Results
magnetic moment	0.000	μB per formula unit
mass density	13.17	g/cm3
DOS(E_F)	3.13	states/eV/f.u.
crystal system	orthorhombic

The data favor ii; the next most stable structure lies 20.4 kJ/mol of atoms above it.

i | An optimized crystal structure of LaTlIr2. Source: Alexandria via LeMat-Bulk, functional GGA-PBE.

Unit cell a=3.599 b=3.599 c=6.458 alpha=90.00 beta=90.00 gamma=90.00
Positions (direct):
La: 0.000 0.000 0.000
Tl: 0.000 0.000 0.500
Ir: 0.500 0.500 0.271
Ir: 0.500 0.500 0.729

Results
magnetic moment	0.000	μB per formula unit
mass density	14.44	g/cm3
DOS(E_F)	3.25	states/eV/f.u.
crystal system	tetragonal

ii | An optimized crystal structure of LaTlIr2. Source: Alexandria via LeMat-Bulk, functional GGA-PBE.

Unit cell a=6.195 b=6.195 c=6.195 alpha=104.85 beta=104.85 gamma=119.16
Positions (direct):
La: 0.000 0.000 0.000
La: 0.750 0.250 0.500
Tl: 0.250 0.750 0.500
Tl: 0.500 0.500 0.000
Ir: 0.138 0.625 0.013
Ir: 0.375 0.388 0.513
Ir: 0.612 0.125 0.987
Ir: 0.875 0.862 0.487

Results
magnetic moment	0.000	μB per formula unit
mass density	13.50	g/cm3
DOS(E_F)	0.38	states/eV/f.u.
crystal system	tetragonal

iii | An optimized crystal structure of LaTlIr2. Source: Alexandria via LeMat-Bulk, functional GGA-PBE.

Unit cell a=5.668 b=5.668 c=5.668 alpha=137.55 beta=137.38 gamma=61.72
Positions (direct):
La: 0.000 0.000 0.000
Tl: 0.251 0.751 0.500
Ir: 0.500 0.500 0.000
Ir: 0.749 0.249 0.500

Results
magnetic moment	0.000	μB per formula unit
mass density	14.69	g/cm3
DOS(E_F)	2.91	states/eV/f.u.
crystal system	orthorhombic

iv | An optimized crystal structure of LaTlIr2. Source: Alexandria via LeMat-Bulk, functional GGA-PBE.

Unit cell a=3.278 b=4.486 c=5.721 alpha=90.00 beta=90.00 gamma=90.00
Positions (direct):
La: 0.000 0.000 0.000
Tl: 0.500 0.500 0.339
Ir: 0.000 0.000 0.506
Ir: 0.500 0.500 0.820

Results
magnetic moment	0.000	μB per formula unit
mass density	14.36	g/cm3
DOS(E_F)	2.04	states/eV/f.u.
crystal system	orthorhombic

The data favor iii; the next most stable structure lies 4.7 kJ/mol of atoms above it.

i | An optimized crystal structure of LaTlIr2. Source: Alexandria via LeMat-Bulk, functional GGA-PBE.

Unit cell a=5.048 b=5.048 c=5.048 alpha=125.37 beta=125.37 gamma=80.92
Positions (direct):
La: 0.000 0.000 0.000
Tl: 0.500 0.500 0.000
Ir: 0.250 0.750 0.500
Ir: 0.750 0.250 0.500

Results
magnetic moment	0.000	μB per formula unit
mass density	14.66	g/cm3
DOS(E_F)	2.40	states/eV/f.u.
crystal system	tetragonal

ii | An optimized crystal structure of LaTlIr2. Source: Alexandria via LeMat-Bulk, functional GGA-PBE.

Unit cell a=4.576 b=4.576 c=3.895 alpha=90.00 beta=90.00 gamma=90.00
Positions (direct):
La: 0.000 0.000 0.000
Tl: 0.500 0.500 0.000
Ir: 0.000 0.500 0.500
Ir: 0.500 0.000 0.500

Results
magnetic moment	0.000	μB per formula unit
mass density	14.81	g/cm3
DOS(E_F)	1.28	states/eV/f.u.
crystal system	tetragonal

The data favor ii; the next most stable structure lies 5.5 kJ/mol of atoms above it.

i | An optimized crystal structure of La3Tl2Ir. Source: Alexandria via LeMat-Bulk, functional GGA-PBE.

Unit cell a=5.547 b=3.955 c=8.991 alpha=90.00 beta=107.92 gamma=90.00
Positions (direct):
La: 0.000 0.000 0.000
La: 0.372 0.500 0.743
La: 0.628 0.500 0.257
Tl: 0.196 0.000 0.391
Tl: 0.804 0.000 0.609
Ir: 0.500 0.000 0.000

Results
magnetic moment	0.000	μB per formula unit
mass density	9.01	g/cm3
DOS(E_F)	5.92	states/eV/f.u.
crystal system	monoclinic

ii | An optimized crystal structure of La3Tl2Ir. Source: Alexandria via LeMat-Bulk, functional GGA-PBE.

Unit cell a=5.493 b=7.803 c=9.021 alpha=89.85 beta=72.30 gamma=89.65
Positions (direct):
La: 0.006 0.238 0.001
La: 0.354 0.000 0.292
La: 0.387 0.500 0.226
La: 0.613 0.500 0.774
La: 0.646 0.000 0.708
La: 0.994 0.762 0.999
Tl: 0.195 0.717 0.608
Tl: 0.197 0.282 0.608
Tl: 0.803 0.718 0.392
Tl: 0.805 0.283 0.392
Ir: 0.493 0.801 0.000
Ir: 0.507 0.199 0.000

Results
magnetic moment	0.000	μB per formula unit
mass density	9.17	g/cm3
DOS(E_F)	6.03	states/eV/f.u.
crystal system	triclinic

The data favor ii; the next most stable structure lies 1.9 kJ/mol of atoms above it.

i | An optimized crystal structure of La5TlIr. Source: Alexandria via LeMat-Bulk, functional GGA-PBE.

Unit cell a=6.463 b=6.463 c=12.047 alpha=103.85 beta=103.85 gamma=72.49
Positions (direct):
La: 0.016 0.984 0.750
La: 0.039 0.425 0.135
La: 0.209 0.555 0.448
La: 0.425 0.039 0.635
La: 0.445 0.791 0.052
La: 0.555 0.209 0.948
La: 0.575 0.961 0.365
La: 0.791 0.445 0.552
La: 0.961 0.575 0.865
La: 0.984 0.016 0.250
Tl: 0.446 0.554 0.750
Tl: 0.554 0.446 0.250
Ir: 0.000 0.000 0.000
Ir: 0.000 0.000 0.500

Results
magnetic moment	0.001	μB per formula unit
mass density	7.91	g/cm3
DOS(E_F)	8.00	states/eV/f.u.
crystal system	monoclinic

ii | An optimized crystal structure of La5TlIr. Source: Alexandria via LeMat-Bulk, functional GGA-PBE.

Unit cell a=5.090 b=5.090 c=8.429 alpha=90.00 beta=90.00 gamma=90.00
Positions (direct):
La: 0.000 0.000 0.000
La: 0.000 0.500 0.301
La: 0.000 0.500 0.699
La: 0.500 0.000 0.301
La: 0.500 0.000 0.699
Tl: 0.500 0.500 0.000
Ir: 0.000 0.000 0.500

Results
magnetic moment	0.002	μB per formula unit
mass density	8.30	g/cm3
DOS(E_F)	8.66	states/eV/f.u.
crystal system	tetragonal

The data favor ii; the next most stable structure lies 3.4 kJ/mol of atoms above it.